Compound: CoTcPO
Source: OQMD via LeMat-Bulk
Functional: PBE+U
Structure: optimized geometry

a b c (Å): 3.097 5.881 5.705
angles (deg): 90.00 90.00 90.00
Atoms (fractional coordinates):
1 Co 0.000 0.088 0.000
2 Co 0.000 0.912 0.500
3 Tc 0.500 0.496 0.617
4 Tc 0.500 0.504 0.117
5 P 0.000 0.279 0.387
6 P 0.000 0.721 0.887
7 O 0.500 0.247 0.875
8 O 0.500 0.753 0.375

Output
Total magnetic moment: 3.31 μB per cell
Space group: Pmc2_1, No. 26
Polymorph energy (0 for the lowest one): 0.0 meV per atom